(1)
# PrTmZn

A relaxed PrTmZn crystal (PBE, OQMD).

Structure (CIF):
```
data_PrTmZn
_chemical_formula_sum 'Pr4 Tm4 Zn4'
_symmetry_space_group_name_H-M 'F -4 3 m'
_symmetry_Int_Tables_number 216
_symmetry_space_group_name_Hall 'F -4 2 3'
_cell_length_a 7.092
_cell_length_b 7.092
_cell_length_c 7.092
_cell_angle_alpha 90.00
_cell_angle_beta 90.00
_cell_angle_gamma 90.00
loop_
_atom_site_label
_atom_site_type_symbol
_atom_site_fract_x
_atom_site_fract_y
_atom_site_fract_z
Pr1 Pr 0.000 0.000 0.000
Tm1 Tm 0.000 0.000 0.500
Zn1 Zn 0.250 0.250 0.250
```

Values from the calculation:
Total moment (μB per cell): 0.13
Total DFT energy (no corrections) (eV per cell): -41.8
E_form (kJ/mol of formula units): 7
V (Å³/atom): 29.7

---

(2)
# KTe4PdAu3

A relaxed KTe4PdAu3 crystal (PBE, OQMD).

Structure (CIF):
```
data_KTe4PdAu3
_chemical_formula_sum 'K1 Te4 Pd1 Au3'
_symmetry_space_group_name_H-M 'P -4 3 m'
_symmetry_Int_Tables_number 215
_symmetry_space_group_name_Hall 'P -4 2 3'
_cell_length_a 6.733
_cell_length_b 6.733
_cell_length_c 6.733
_cell_angle_alpha 90.00
_cell_angle_beta 90.00
_cell_angle_gamma 90.00
loop_
_atom_site_label
_atom_site_type_symbol
_atom_site_fract_x
_atom_site_fract_y
_atom_site_fract_z
K1 K 0.000 0.000 0.000
Te1 Te 0.277 0.277 0.277
Pd1 Pd 0.500 0.500 0.500
Au1 Au 0.000 0.500 0.500
```

Values from the calculation:
Total DFT energy (no corrections) (eV per cell): -29.6
V (Å³/atom): 33.9

---

(3)
# Hf2GaSbPt2

A relaxed Hf2GaSbPt2 crystal (PBE, OQMD).

Structure (CIF):
```
data_Hf2GaSbPt2
_chemical_formula_sum 'Hf8 Ga4 Sb4 Pt8'
_symmetry_space_group_name_H-M 'I -4 2 d'
_symmetry_Int_Tables_number 122
_symmetry_space_group_name_Hall 'I -4 2bw'
_cell_length_a 6.292
_cell_length_b 6.292
_cell_length_c 12.555
_cell_angle_alpha 90.00
_cell_angle_beta 90.00
_cell_angle_gamma 90.00
loop_
_atom_site_label
_atom_site_type_symbol
_atom_site_fract_x
_atom_site_fract_y
_atom_site_fract_z
Hf1 Hf 0.000 0.000 0.244
Ga1 Ga 0.000 0.000 0.000
Sb1 Sb 0.000 0.000 0.500
Pt1 Pt 0.245 0.250 0.125
```

Values from the calculation:
Total moment (μB per cell): 0.00
Total DFT energy (no corrections) (eV per cell): -180.0
V (Å³/atom): 20.7

---

(4)
# CoGeN2

A relaxed CoGeN2 crystal (PBE, OQMD).

Structure (CIF):
```
data_CoGeN2
_chemical_formula_sum 'Co4 Ge4 N8'
_symmetry_space_group_name_H-M 'P n a 21'
_symmetry_Int_Tables_number 33
_cell_length_a 5.438
_cell_length_b 6.401
_cell_length_c 5.176
_cell_angle_alpha 90.00
_cell_angle_beta 90.00
_cell_angle_gamma 90.00
loop_
_symmetry_equiv_pos_as_xyz
'x,y,z'
'-x,-y,z+1/2'
'-x+1/2,y+1/2,z+1/2'
'x+1/2,-y+1/2,z'
loop_
_atom_site_label
_atom_site_type_symbol
_atom_site_fract_x
_atom_site_fract_y
_atom_site_fract_z
Co1 Co 0.082 0.121 0.000
Ge1 Ge 0.078 0.625 0.003
N1 N 0.071 0.615 0.366
N2 N 0.096 0.138 0.389
```

Values from the calculation:
Total moment (μB per cell): 11.98
Total DFT energy (no corrections) (eV per cell): -110.2
V (Å³/atom): 11.3

---

(5)
# SrPrZn

A relaxed SrPrZn crystal (PBE, OQMD).

Structure (CIF):
```
data_SrPrZn
_chemical_formula_sum 'Sr4 Pr4 Zn4'
_symmetry_space_group_name_H-M 'F -4 3 m'
_symmetry_Int_Tables_number 216
_symmetry_space_group_name_Hall 'F -4 2 3'
_cell_length_a 7.471
_cell_length_b 7.471
_cell_length_c 7.471
_cell_angle_alpha 90.00
_cell_angle_beta 90.00
_cell_angle_gamma 90.00
loop_
_atom_site_label
_atom_site_type_symbol
_atom_site_fract_x
_atom_site_fract_y
_atom_site_fract_z
Sr1 Sr 0.000 0.000 0.000
Pr1 Pr 0.000 0.000 0.500
Zn1 Zn 0.250 0.250 0.750
```

Values from the calculation:
Total moment (μB per cell): 0.01
Total DFT energy (no corrections) (eV per cell): -30.0
V (Å³/atom): 34.8

---

(6)
# AcErBe

A relaxed AcErBe crystal (PBE, OQMD).

Structure (CIF):
```
data_AcErBe
_chemical_formula_sum 'Ac4 Er4 Be4'
_symmetry_space_group_name_H-M 'F -4 3 m'
_symmetry_Int_Tables_number 216
_symmetry_space_group_name_Hall 'F -4 2 3'
_cell_length_a 7.179
_cell_length_b 7.179
_cell_length_c 7.179
_cell_angle_alpha 90.00
_cell_angle_beta 90.00
_cell_angle_gamma 90.00
loop_
_atom_site_label
_atom_site_type_symbol
_atom_site_fract_x
_atom_site_fract_y
_atom_site_fract_z
Ac1 Ac 0.000 0.000 0.000
Er1 Er 0.250 0.250 0.250
Be1 Be 0.250 0.250 0.750
```

Values from the calculation:
Total moment (μB per cell): 0.00
Total DFT energy (no corrections) (eV per cell): -36.3
V (Å³/atom): 30.8

---

(7)
# SrLuAl

A relaxed SrLuAl crystal (PBE, OQMD).

Structure (CIF):
```
data_SrLuAl
_chemical_formula_sum 'Sr4 Lu4 Al4'
_symmetry_space_group_name_H-M 'F -4 3 m'
_symmetry_Int_Tables_number 216
_symmetry_space_group_name_Hall 'F -4 2 3'
_cell_length_a 7.424
_cell_length_b 7.424
_cell_length_c 7.424
_cell_angle_alpha 90.00
_cell_angle_beta 90.00
_cell_angle_gamma 90.00
loop_
_atom_site_label
_atom_site_type_symbol
_atom_site_fract_x
_atom_site_fract_y
_atom_site_fract_z
Sr1 Sr 0.000 0.000 0.000
Lu1 Lu 0.250 0.250 0.250
Al1 Al 0.250 0.250 0.750
```

Values from the calculation:
Total moment (μB per cell): 0.00
Total DFT energy (no corrections) (eV per cell): -30.8
V (Å³/atom): 34.1

---

(8)
# HfCoBiAu

A relaxed HfCoBiAu crystal (PBE, OQMD).

Structure (CIF):
```
data_HfCoBiAu
_chemical_formula_sum 'Hf4 Co4 Bi4 Au4'
_symmetry_space_group_name_H-M 'F -4 3 m'
_symmetry_Int_Tables_number 216
_symmetry_space_group_name_Hall 'F -4 2 3'
_cell_length_a 6.709
_cell_length_b 6.709
_cell_length_c 6.709
_cell_angle_alpha 90.00
_cell_angle_beta 90.00
_cell_angle_gamma 90.00
loop_
_atom_site_label
_atom_site_type_symbol
_atom_site_fract_x
_atom_site_fract_y
_atom_site_fract_z
Hf1 Hf 0.000 0.000 0.000
Co1 Co 0.000 0.000 0.500
Bi1 Bi 0.250 0.250 0.250
Au1 Au 0.250 0.250 0.750
```

Values from the calculation:
Total moment (μB per cell): 3.92
Total DFT energy (no corrections) (eV per cell): -95.6
V (Å³/atom): 18.9

---

(9)
# ScUSe3

A relaxed ScUSe3 crystal (PBE, OQMD).

Structure (CIF):
```
data_ScUSe3
_chemical_formula_sum 'Sc4 U4 Se12'
_symmetry_space_group_name_H-M 'C m c m'
_symmetry_Int_Tables_number 63
_symmetry_space_group_name_Hall '-C 2c 2'
_cell_length_a 3.886
_cell_length_b 12.695
_cell_length_c 9.660
_cell_angle_alpha 90.00
_cell_angle_beta 90.00
_cell_angle_gamma 90.00
loop_
_atom_site_label
_atom_site_type_symbol
_atom_site_fract_x
_atom_site_fract_y
_atom_site_fract_z
Sc1 Sc 0.000 0.000 0.000
U1 U 0.000 0.251 0.250
Se1 Se 0.000 0.082 0.750
Se2 Se 0.000 0.357 0.561
```

Values from the calculation:
Total moment (μB per cell): 11.02
Total DFT energy (no corrections) (eV per cell): -140.6
V (Å³/atom): 23.8

---

(10)
# DyLuOs

A relaxed DyLuOs crystal (PBE, OQMD).

Structure (CIF):
```
data_DyLuOs
_chemical_formula_sum 'Dy4 Lu4 Os4'
_symmetry_space_group_name_H-M 'F -4 3 m'
_symmetry_Int_Tables_number 216
_symmetry_space_group_name_Hall 'F -4 2 3'
_cell_length_a 6.611
_cell_length_b 6.611
_cell_length_c 6.611
_cell_angle_alpha 90.00
_cell_angle_beta 90.00
_cell_angle_gamma 90.00
loop_
_atom_site_label
_atom_site_type_symbol
_atom_site_fract_x
_atom_site_fract_y
_atom_site_fract_z
Dy1 Dy 0.000 0.000 0.000
Lu1 Lu 0.250 0.250 0.250
Os1 Os 0.000 0.000 0.500
```

Values from the calculation:
Total moment (μB per cell): 0.00
Total DFT energy (no corrections) (eV per cell): -73.6
E_form (kJ/mol of formula units): 189
V (Å³/atom): 24.1

---

(11)
# TcSb

A relaxed TcSb crystal (PBE, OQMD).

Structure (CIF):
```
data_TcSb
_chemical_formula_sum 'Tc2 Sb2'
_symmetry_space_group_name_H-M 'P 63/m m c'
_symmetry_Int_Tables_number 194
_symmetry_space_group_name_Hall '-P 6c 2c'
_cell_length_a 4.2388
_cell_length_b 4.2388
_cell_length_c 5.1834
_cell_angle_alpha 90.00
_cell_angle_beta 90.00
_cell_angle_gamma 120.00
loop_
_atom_site_label
_atom_site_type_symbol
_atom_site_fract_x
_atom_site_fract_y
_atom_site_fract_z
Tc1 Tc 0.0000 0.0000 0.0000
Sb1 Sb 0.3333 0.6667 0.2500
```

Values from the calculation:
Total moment (μB per cell): 0.01
Total DFT energy (no corrections) (eV per cell): -28.5
V (Å³/atom): 20.2

---

(12)
# LaReNO

A relaxed LaReNO crystal (PBE, OQMD).

Structure (CIF):
```
data_LaReNO
_chemical_formula_sum 'La4 Re4 N4 O4'
_symmetry_space_group_name_H-M 'P c a 21'
_symmetry_Int_Tables_number 29
_cell_length_a 7.002
_cell_length_b 6.980
_cell_length_c 5.077
_cell_angle_alpha 90.00
_cell_angle_beta 90.00
_cell_angle_gamma 90.00
loop_
_symmetry_equiv_pos_as_xyz
'x,y,z'
'-x,-y,z+1/2'
'-x+1/2,y,z+1/2'
'x+1/2,-y,z'
loop_
_atom_site_label
_atom_site_type_symbol
_atom_site_fract_x
_atom_site_fract_y
_atom_site_fract_z
La1 La 0.095 0.182 0.000
Re1 Re 0.186 0.677 0.000
N1 N 0.020 0.157 0.501
O1 O 0.246 0.464 0.252
```

Values from the calculation:
Total moment (μB per cell): 0.00
Total DFT energy (no corrections) (eV per cell): -140.7
V (Å³/atom): 15.5